(1)
A plane-wave DFT calculation with GGA-PBE was carried out for a relaxed structure of NaO.

## Properties
Size of the total moment in μB per cell: 0.9
Total energy in eV for the cell shown: -48.0

Cell lengths 14.181, 3.278, 3.458 Å; angles 90.00, 90.00, 90.00 degrees
Atoms (fractional coordinates):
Na 0.840 0.000 0.500
Na 0.160 0.000 0.500
Na 0.340 0.500 0.500
Na 0.660 0.500 0.500
Na 0.500 0.000 0.000
Na 0.000 0.500 0.000
O 0.725 0.000 0.000
O 0.275 0.000 0.000
O 0.225 0.500 0.000
O 0.775 0.500 0.000
O 0.000 0.000 0.500
O 0.500 0.500 0.500

***

(2)
A plane-wave DFT calculation with GGA-PBE was carried out for a relaxed structure of NaO3.

## Properties
Size of the total moment in μB per cell: 1.0
Total energy in eV for the cell shown: -18.5

Cell lengths 4.353, 4.353, 4.353 Å; angles 131.18, 104.21, 95.52 degrees
Atoms (fractional coordinates):
Na 0.473 0.473 0.000
O 0.881 0.094 0.787
O 0.964 0.964 0.000
O 0.306 0.094 0.213

***

(3)
A plane-wave DFT calculation with GGA-PBE was carried out for a relaxed structure of NaO2.

## Properties
Size of the total moment in μB per cell: 8.0
Energy above the lowest structure with this stoichiometry in kJ per mole of atoms: 0.46

Cell lengths 5.991, 7.703, 7.292 Å; angles 90.00, 90.00, 90.00 degrees
Atoms (fractional coordinates):
Na 0.750 0.500 0.125
Na 0.250 0.000 0.875
Na 0.250 0.000 0.375
Na 0.750 0.500 0.625
Na 0.250 0.500 0.875
Na 0.750 0.000 0.125
Na 0.750 0.000 0.625
Na 0.250 0.500 0.375
O 0.591 0.663 0.375
O 0.091 0.837 0.625
O 0.409 0.163 0.125
O 0.909 0.337 0.875
O 0.409 0.337 0.625
O 0.909 0.163 0.375
O 0.591 0.837 0.875
O 0.091 0.663 0.125
O 0.409 0.337 0.125
O 0.909 0.163 0.875
O 0.591 0.837 0.375
O 0.091 0.663 0.625
O 0.591 0.663 0.875
O 0.091 0.837 0.125
O 0.409 0.163 0.625
O 0.909 0.337 0.375

***

(4)
A plane-wave DFT calculation with GGA-PBE was carried out for a relaxed structure of NaO2.

## Properties
Size of the total moment in μB per cell: 1.0
Energy above the lowest structure with this stoichiometry in kJ per mole of atoms: 11.09

Cell lengths 3.348, 3.348, 3.348 Å; angles 83.82, 83.82, 83.82 degrees
Atoms (fractional coordinates):
Na 0.000 0.000 0.000
O 0.394 0.394 0.394
O 0.606 0.606 0.606

***

(5)
A plane-wave DFT calculation with GGA-PBE was carried out for a relaxed structure of Na5O6.

## Properties
Size of the total moment in μB per cell: 1.0
Total energy in eV for the cell shown: -45.9

Cell lengths 6.200, 6.441, 6.441 Å; angles 133.43, 104.49, 104.49 degrees
Atoms (fractional coordinates):
Na 0.500 0.500 0.500
Na 0.000 0.628 0.372
Na 0.000 0.372 0.628
Na 0.500 0.815 0.185
Na 0.500 0.185 0.815
O 0.634 0.184 0.184
O 0.366 0.816 0.816
O 0.850 0.697 0.056
O 0.150 0.944 0.303
O 0.150 0.303 0.944
O 0.850 0.056 0.697

***

(6)
A plane-wave DFT calculation with GGA-PBE was carried out for a relaxed structure of NaO.

## Properties
Size of the total moment in μB per cell: 0.0
Total energy in eV for the cell shown: -16.2

Cell lengths 3.688, 4.069, 4.534 Å; angles 75.79, 89.85, 62.98 degrees
Atoms (fractional coordinates):
Na 0.483 0.596 0.195
Na 0.723 0.116 0.708
O 0.817 0.928 0.243
O 0.987 0.587 0.538

***

(7)
A plane-wave DFT calculation with GGA-PBE was carried out for a relaxed structure of NaO.

## Properties
Size of the total moment in μB per cell: 4.0
Total energy in eV for the cell shown: -29.2

Cell lengths 5.303, 5.303, 5.303 Å; angles 90.00, 90.00, 90.00 degrees
Atoms (fractional coordinates):
Na 0.000 0.000 0.000
Na 0.000 0.500 0.500
Na 0.500 0.000 0.500
Na 0.500 0.500 0.000
O 0.250 0.250 0.250
O 0.250 0.750 0.750
O 0.750 0.250 0.750
O 0.750 0.750 0.250

***

(8)
A plane-wave DFT calculation with GGA-PBE was carried out for a relaxed structure of NaO2.

## Properties
Size of the total moment in μB per cell: 8.0
Energy above the lowest structure with this stoichiometry in kJ per mole of atoms: 1.61

Cell lengths 5.247, 6.502, 9.317 Å; angles 90.00, 90.00, 90.00 degrees
Atoms (fractional coordinates):
Na 0.337 0.719 0.622
Na 0.837 0.781 0.378
Na 0.663 0.219 0.878
Na 0.163 0.281 0.122
Na 0.663 0.281 0.378
Na 0.163 0.219 0.622
Na 0.337 0.781 0.122
Na 0.837 0.719 0.878
O 0.267 0.034 0.936
O 0.767 0.466 0.064
O 0.733 0.534 0.564
O 0.233 0.966 0.436
O 0.733 0.966 0.064
O 0.233 0.534 0.936
O 0.267 0.466 0.436
O 0.767 0.034 0.564
O 0.574 0.034 0.660
O 0.074 0.466 0.340
O 0.426 0.534 0.840
O 0.926 0.966 0.160
O 0.426 0.966 0.340
O 0.926 0.534 0.660
O 0.574 0.466 0.160
O 0.074 0.034 0.840

***

(9)
A plane-wave DFT calculation with GGA-PBE was carried out for a relaxed structure of Na8O3.

## Properties
Size of the total moment in μB per cell: 0.0
Total energy in eV for the cell shown: -35.3

Cell lengths 5.961, 5.961, 5.961 Å; angles 91.58, 91.58, 91.58 degrees
Atoms (fractional coordinates):
Na 0.815 0.365 0.172
Na 0.365 0.172 0.815
Na 0.172 0.815 0.365
Na 0.319 0.319 0.319
Na 0.681 0.681 0.681
Na 0.828 0.185 0.635
Na 0.635 0.828 0.185
Na 0.185 0.635 0.828
O 0.500 0.000 0.500
O 0.000 0.500 0.500
O 0.500 0.500 0.000

***

(10)
A plane-wave DFT calculation with GGA-PBE was carried out for a relaxed structure of Na4O.

## Properties
Size of the total moment in μB per cell: 0.0
Energy above the lowest structure with this stoichiometry in kJ per mole of atoms: 6.68

Cell lengths 4.864, 4.864, 4.864 Å; angles 90.00, 90.00, 90.00 degrees
Atoms (fractional coordinates):
Na 0.000 0.000 0.000
Na 0.500 0.000 0.500
Na 0.000 0.500 0.500
Na 0.500 0.500 0.000
O 0.500 0.500 0.500

***

(11)
A plane-wave DFT calculation with GGA-PBE was carried out for a relaxed structure of NaO2.

## Properties
Size of the total moment in μB per cell: 4.0
Energy above the lowest structure with this stoichiometry in kJ per mole of atoms: 1.84

Cell lengths 5.523, 5.523, 5.523 Å; angles 90.00, 90.00, 90.00 degrees
Atoms (fractional coordinates):
Na 0.000 0.500 0.500
Na 0.500 0.500 0.000
Na 0.500 0.000 0.500
Na 0.000 0.000 0.000
O 0.429 0.071 0.929
O 0.071 0.929 0.429
O 0.929 0.429 0.071
O 0.571 0.571 0.571
O 0.429 0.429 0.429
O 0.071 0.571 0.929
O 0.929 0.071 0.571
O 0.571 0.929 0.071

***

(12)
A plane-wave DFT calculation with GGA-PBE was carried out for a relaxed structure of Na4O.

## Properties
Size of the total moment in μB per cell: 0.0
Energy above the lowest structure with this stoichiometry in kJ per mole of atoms: 0.00

Cell lengths 6.848, 6.848, 6.850 Å; angles 108.46, 108.46, 111.50 degrees
Atoms (fractional coordinates):
Na 0.696 0.400 0.703
Na 0.697 0.993 0.297
Na 0.809 0.011 0.799
Na 0.212 0.011 0.201
Na 0.261 0.559 0.299
Na 0.261 0.962 0.701
Na 0.243 0.447 0.797
Na 0.650 0.446 0.203
O 0.238 0.238 0.000
O 0.488 0.988 0.500

***

(13)
A plane-wave DFT calculation with GGA-PBE was carried out for a relaxed structure of NaO4.

## Properties
Size of the total moment in μB per cell: 6.0
Energy above the lowest structure with this stoichiometry in kJ per mole of atoms: 0.00

Cell lengths 5.968, 4.088, 5.955 Å; angles 90.22, 90.00, 90.00 degrees
Atoms (fractional coordinates):
Na 0.000 0.000 0.000
Na 0.500 0.000 0.500
O 0.241 0.343 0.260
O 0.741 0.657 0.240
O 0.759 0.657 0.740
O 0.259 0.343 0.760
O 0.760 0.343 0.740
O 0.260 0.657 0.760
O 0.240 0.657 0.260
O 0.740 0.343 0.240

***

(14)
A plane-wave DFT calculation with GGA-PBE was carried out for a relaxed structure of NaO.

## Properties
Size of the total moment in μB per cell: 8.0
Total energy in eV for the cell shown: -60.0

Cell lengths 8.012, 8.012, 4.698 Å; angles 90.00, 90.00, 90.00 degrees
Atoms (fractional coordinates):
Na 0.854 0.354 0.500
Na 0.354 0.146 0.500
Na 0.646 0.854 0.500
Na 0.146 0.646 0.500
Na 0.348 0.848 0.000
Na 0.848 0.652 0.000
Na 0.152 0.348 0.000
Na 0.652 0.152 0.000
O 0.351 0.851 0.500
O 0.851 0.649 0.500
O 0.149 0.351 0.500
O 0.649 0.149 0.500
O 0.857 0.357 0.000
O 0.357 0.143 0.000
O 0.643 0.857 0.000
O 0.143 0.643 0.000

***

(15)
A plane-wave DFT calculation with GGA-PBE was carried out for a relaxed structure of NaO.

## Properties
Size of the total moment in μB per cell: 2.0
Total energy in eV for the cell shown: -47.4

Cell lengths 10.184, 3.825, 4.597 Å; angles 90.00, 90.00, 90.00 degrees
Atoms (fractional coordinates):
Na 0.802 0.000 0.189
Na 0.198 0.000 0.189
Na 0.302 0.500 0.689
Na 0.698 0.500 0.689
Na 0.000 0.500 0.743
Na 0.500 0.000 0.243
O 0.842 0.000 0.687
O 0.158 0.000 0.687
O 0.342 0.500 0.187
O 0.658 0.500 0.187
O 0.000 0.000 0.506
O 0.500 0.500 0.006

***

(16)
A plane-wave DFT calculation with GGA-PBE was carried out for a relaxed structure of NaO.

## Properties
Size of the total moment in μB per cell: 0.0
Total energy in eV for the cell shown: -32.8

Cell lengths 3.328, 3.328, 9.556 Å; angles 90.00, 90.00, 90.00 degrees
Atoms (fractional coordinates):
Na 0.000 0.000 0.000
Na 0.500 0.500 0.500
Na 0.000 0.500 0.250
Na 0.500 0.000 0.750
O 0.000 0.000 0.580
O 0.000 0.000 0.420
O 0.500 0.500 0.080
O 0.500 0.500 0.920

***

(17)
A plane-wave DFT calculation with GGA-PBE was carried out for a relaxed structure of NaO.

## Properties
Size of the total moment in μB per cell: 0.0
Total energy in eV for the cell shown: -16.8

Cell lengths 3.616, 4.324, 4.327 Å; angles 69.07, 65.33, 65.36 degrees
Atoms (fractional coordinates):
Na 0.728 0.772 0.272
Na 0.272 0.228 0.728
O 0.000 0.843 0.657
O 0.000 0.157 0.343

***

(18)
A plane-wave DFT calculation with GGA-PBE was carried out for a relaxed structure of NaO.

## Properties
Size of the total moment in μB per cell: 4.0
Total energy in eV for the cell shown: -30.5

Cell lengths 4.813, 4.813, 4.813 Å; angles 90.00, 90.00, 90.00 degrees
Atoms (fractional coordinates):
Na 0.500 0.500 0.500
Na 0.500 0.000 0.000
Na 0.000 0.500 0.000
Na 0.000 0.000 0.500
O 0.000 0.000 0.000
O 0.000 0.500 0.500
O 0.500 0.000 0.500
O 0.500 0.500 0.000

***

(19)
A plane-wave DFT calculation with GGA-PBE was carried out for a relaxed structure of NaO.

## Properties
Size of the total moment in μB per cell: 8.0
Total energy in eV for the cell shown: -58.7

Cell lengths 7.149, 7.149, 7.149 Å; angles 90.00, 90.00, 90.00 degrees
Atoms (fractional coordinates):
Na 0.327 0.327 0.327
Na 0.327 0.673 0.673
Na 0.673 0.327 0.673
Na 0.673 0.673 0.327
Na 0.827 0.827 0.827
Na 0.827 0.173 0.173
Na 0.173 0.827 0.173
Na 0.173 0.173 0.827
O 0.145 0.145 0.145
O 0.145 0.855 0.855
O 0.855 0.145 0.855
O 0.855 0.855 0.145
O 0.645 0.645 0.645
O 0.645 0.355 0.355
O 0.355 0.645 0.355
O 0.355 0.355 0.645

***

(20)
A plane-wave DFT calculation with GGA-PBE was carried out for a relaxed structure of NaO.

## Properties
Size of the total moment in μB per cell: 0.0
Total energy in eV for the cell shown: -16.7

Cell lengths 3.714, 3.714, 4.413 Å; angles 90.00, 90.00, 120.00 degrees
Atoms (fractional coordinates):
Na 0.333 0.667 0.500
Na 0.000 0.000 0.000
O 0.667 0.333 0.323
O 0.667 0.333 0.677